VASP calculation (PBE) on an optimized crystal structure of Ba2YHg.

The structure in extended XYZ format:
```
4
Lattice="-0.330 4.051 -0.290 -1.461 -0.391 -3.796 -10.671 -0.884 -0.196" Properties=species:S:1:pos:R:3 pbc="T T T"
Hg -3.198 1.707 -1.143
Y -9.265 1.070 -3.139
Ba -1.782 -0.408 -3.669
Ba -5.746 -0.620 -2.123
```

Crystal system ... orthorhombic
Final energy ... -2.731 eV/atom
Formation energy ... -1.81 kcal/mol of atoms

VASP calculation (PBE) on an optimized crystal structure of Ba2YHg2.

The structure in extended XYZ format:
```
10
Lattice="9.097 0.000 0.000 0.000 9.097 0.000 0.000 0.000 4.515" Properties=species:S:1:pos:R:3 pbc="T T T"
Hg 5.838 1.290 0.000
Ba 6.008 7.638 2.258
Hg 1.290 3.259 0.000
Ba 1.459 6.008 2.258
Y 4.548 4.548 0.000
Ba 7.638 3.089 2.258
Y 0.000 0.000 0.000
Hg 7.807 5.838 0.000
Hg 3.259 7.807 0.000
Ba 3.089 1.459 2.258
```

Crystal system ... tetragonal
Final energy ... -2.432 eV/atom
Energy above the most stable polymorph in this dataset ... 0.00 eV/f.u.
Formation energy ... -5.75 kcal/mol of atoms